Zr3Sc: PBEsol geometry, SCAN.

Structure (POSCAR):
```
Zr3Sc
1.0
-2.227 2.227 4.475
2.227 -2.227 4.475
2.227 2.227 -4.475
Zr Sc
3 1
Cartesian
0.000 0.000 0.000
2.227 0.000 2.237
0.000 2.227 2.237
0.000 0.000 4.475
```

Crystal system   tetragonal
Calculated volume   22.19 Å³ per atom
Distance to the lowest polymorph of the same formula   53 meV per atom
Total DFT energy (no corrections)   -1.9500 Ry per atom
DOS at the Fermi energy   5.54 states/eV/cell